# In2BCF | the Alexandria database | PBE-GGA | optimized geometry
data_In2BCF
_space_group_name_H-M_alt 'P 4/m m m'
_space_group_IT_number 123
_space_group_name_Hall '-P 4 2'
_cell_length_a 4.627
_cell_length_b 4.627
_cell_length_c 3.625
_cell_angle_alpha 90.00
_cell_angle_beta 90.00
_cell_angle_gamma 90.00
loop_
_atom_site_label
_atom_site_type_symbol
_atom_site_fract_x
_atom_site_fract_y
_atom_site_fract_z
_atom_site_occupancy
In1 In 0.000 0.500 0.000 1
B1 B 0.000 0.000 0.500 1
C1 C 0.500 0.500 0.000 1
F1 F 0.500 0.500 0.500 1
# uncorrected formation energy	507	kJ/mol of formula units
# total magnetic moment	0.00	μB/f.u.
# N(E_F)	0.370	states/eV per atom
# calculated total energy	-3.598	eV/atom